Entry 1:
DFT (GGA-PBE) results for a relaxed K2Ca2Au crystal.

## Properties
polymorph energy (0 for the lowest one): 0 meV per atom
calculated total energy: -2.009 eV/atom

Geometry as POSCAR:
```
K2Ca2Au
1.0
-0.207 5.826 5.372
-7.335 -2.176 2.076
2.716 -4.451 4.931
Ca K Au
4 4 2
Cartesian
-2.430 0.301 1.610 Ca
-1.413 3.546 3.979 Ca
-6.130 0.104 3.470 Ca
-5.112 3.349 5.838 Ca
-4.793 -0.042 7.823 K
-0.034 -0.758 4.556 K
-1.154 1.853 7.530 K
-3.672 -2.654 4.849 K
0.000 0.000 0.000 Au
-3.771 1.825 3.724 Au
```

Entry 2:
DFT (GGA-PBE) results for a relaxed Cs2ThAgTe4 crystal.

## Properties
raw formation energy: -0.750 eV/atom
calculated total energy: -3.818 eV/atom

Geometry as POSCAR:
```
Cs2ThAgTe4
1.0
7.690 0.000 0.000
3.845 6.593 0.000
3.845 0.000 6.593
Te Cs Th Ag
4 2 1 1
Cartesian
2.032 2.228 0.000 Te
9.502 0.000 4.365 Te
5.877 4.365 0.000 Te
5.657 0.000 2.228 Te
3.845 3.297 3.297 Cs
7.690 3.297 3.297 Cs
0.000 0.000 0.000 Th
3.845 0.000 0.000 Ag
```

Q: Which value of calculated total energy does entry 1 give?
A: -2.009 eV/atom

Q: Look up the calculated total energy of the second one.
A: -3.818 eV/atom

Q: calculated total energy of number 2 (Cs2ThAgTe4)?
A: -3.818 eV/atom